{"formula": "CdTc2Rh", "functional": "PBE", "state": "relaxed", "formation_enthalpy_0k_ev_per_atom": 0.228, "crystal_system": "monoclinic", "spacegroup": "C2/m (12)", "lattice_angstrom": [[-3.762, -1.524, -2.922], [-2.738, -3.825, -1.697], [-3.596, 0.045, 3.092]], "species": ["Tc", "Tc", "Rh", "Cd"], "fractional_positions": [[0.987, 0.987, 0.021], [0.513, 0.513, 0.479], [0.250, 0.250, 0.250], [0.750, 0.750, 0.750]]}

***

{"formula": "Cd2TcRh", "functional": "PBE", "state": "relaxed", "formation_enthalpy_0k_ev_per_atom": 0.266, "crystal_system": "orthorhombic", "spacegroup": "Imm2 (44)", "lattice_angstrom": [[-5.509, -1.610, 0.764], [-1.581, -3.342, 4.457], [2.190, 4.916, -2.136]], "species": ["Cd", "Cd", "Rh", "Tc"], "fractional_positions": [[0.732, 0.232, 0.500], [0.013, 0.013, 0.000], [0.482, 0.482, 0.000], [0.272, 0.772, 0.500]]}

***

{"formula": "CdTc2Rh", "functional": "PBE", "state": "relaxed", "formation_enthalpy_0k_ev_per_atom": 0.237, "crystal_system": "trigonal", "spacegroup": "R-3m (166)", "lattice_angstrom": [[-9.020, -0.964, -2.743], [-9.285, -1.891, -0.135], [-9.416, 0.837, -0.661]], "species": ["Tc", "Tc", "Rh", "Cd"], "fractional_positions": [[0.494, 0.494, 0.494], [0.006, 0.006, 0.006], [0.750, 0.750, 0.750], [0.250, 0.250, 0.250]]}

***

{"formula": "CdTc2Rh", "functional": "PBE", "state": "relaxed", "formation_enthalpy_0k_ev_per_atom": 0.264, "crystal_system": "tetragonal", "spacegroup": "I4/mmm (139)", "lattice_angstrom": [[5.104, 0.000, 0.000], [2.305, 4.554, 0.000], [-3.705, -2.277, 2.673]], "species": ["Cd", "Tc", "Tc", "Rh"], "fractional_positions": [[0.250, 0.750, 0.500], [0.500, 0.500, 0.000], [0.000, 0.000, 0.000], [0.750, 0.250, 0.500]]}

***

{"formula": "Cd2TcRh", "functional": "PBE", "state": "relaxed", "formation_enthalpy_0k_ev_per_atom": 0.314, "crystal_system": "orthorhombic", "spacegroup": "Cmmm (65)", "lattice_angstrom": [[2.802, -0.030, 0.000], [-0.991, 2.622, 0.000], [0.000, 0.000, 9.302]], "species": ["Cd", "Cd", "Rh", "Tc"], "fractional_positions": [[0.000, 0.000, 0.494], [0.000, 0.000, 0.006], [0.500, 0.500, 0.250], [0.500, 0.500, 0.750]]}

***

{"formula": "Cd2TcRh", "functional": "PBE", "state": "relaxed", "formation_enthalpy_0k_ev_per_atom": 0.344, "crystal_system": "orthorhombic", "spacegroup": "Immm (71)", "lattice_angstrom": [[5.629, 0.007, 0.002], [2.756, 4.907, -0.002], [-3.504, -3.632, 2.492]], "species": ["Cd", "Cd", "Rh", "Tc"], "fractional_positions": [[0.993, 0.993, 0.000], [0.507, 0.507, 0.000], [0.750, 0.250, 0.500], [0.250, 0.750, 0.500]]}

***

{"formula": "CdTc2Rh", "functional": "PBE", "state": "relaxed", "formation_enthalpy_0k_ev_per_atom": 0.264, "crystal_system": "orthorhombic", "spacegroup": "Cmm2 (35)", "lattice_angstrom": [[2.750, -0.007, 0.000], [-1.207, 2.471, 0.000], [0.000, 0.000, 9.344]], "species": ["Cd", "Tc", "Tc", "Rh"], "fractional_positions": [[0.000, 0.000, 0.504], [0.500, 0.500, 0.231], [0.000, 0.000, 0.003], [0.500, 0.500, 0.762]]}

***

{"formula": "Cd4TcRh", "functional": "PBE", "state": "relaxed", "formation_enthalpy_0k_ev_per_atom": 0.549, "crystal_system": "cubic", "spacegroup": "F-43m (216)", "lattice_angstrom": [[2.972, -1.563, 4.318], [-2.372, -2.713, 4.115], [1.111, -5.299, 0.783]], "species": ["Cd", "Cd", "Cd", "Cd", "Tc", "Rh"], "fractional_positions": [[0.875, 0.375, 0.375], [0.375, 0.375, 0.375], [0.375, 0.375, 0.875], [0.375, 0.875, 0.375], [0.000, 0.000, 0.000], [0.750, 0.750, 0.750]]}

***

{"formula": "CdTc2Rh", "functional": "PBE", "state": "relaxed", "formation_enthalpy_0k_ev_per_atom": 0.791, "crystal_system": "tetragonal", "spacegroup": "I-42d (122)", "lattice_angstrom": [[-3.754, 6.160, -1.625], [-0.071, -1.927, -7.139], [-4.141, 0.854, -4.019]], "species": ["Tc", "Tc", "Tc", "Tc", "Rh", "Rh", "Cd", "Cd"], "fractional_positions": [[0.172, 0.625, 0.250], [0.578, 0.125, 0.250], [0.375, 0.422, 0.750], [0.875, 0.828, 0.750], [0.500, 0.500, 0.000], [0.250, 0.750, 0.500], [0.750, 0.250, 0.500], [0.000, 0.000, 0.000]]}

***

{"formula": "Cd2TcRh", "functional": "PBE", "state": "relaxed", "formation_enthalpy_0k_ev_per_atom": 0.314, "crystal_system": "tetragonal", "spacegroup": "I-4m2 (119)", "lattice_angstrom": [[-3.552, -0.267, 3.319], [0.014, -4.664, 1.395], [3.735, 3.116, -0.200]], "species": ["Tc", "Cd", "Cd", "Rh"], "fractional_positions": [[0.750, 0.250, 0.500], [0.250, 0.750, 0.500], [0.000, 0.000, 0.000], [0.500, 0.500, 0.000]]}

***

{"formula": "CdTc2Rh", "functional": "PBE", "state": "relaxed", "formation_enthalpy_0k_ev_per_atom": 0.255, "crystal_system": "tetragonal", "spacegroup": "P4/mmm (123)", "lattice_angstrom": [[2.727, 0.005, 0.000], [-0.005, 2.727, 0.000], [0.000, 0.000, 8.418]], "species": ["Rh", "Tc", "Tc", "Cd"], "fractional_positions": [[0.500, 0.500, 0.750], [0.000, 0.000, 0.980], [0.000, 0.000, 0.520], [0.500, 0.500, 0.250]]}

***

{"formula": "CdTc2Rh", "functional": "PBE", "state": "relaxed", "formation_enthalpy_0k_ev_per_atom": 0.091, "crystal_system": "tetragonal", "spacegroup": "P4mm (99)", "lattice_angstrom": [[2.823, 0.000, 0.000], [0.000, 2.823, 0.000], [0.000, 0.000, 7.895]], "species": ["Rh", "Tc", "Tc", "Cd"], "fractional_positions": [[0.500, 0.500, 0.771], [0.000, 0.000, 0.000], [0.500, 0.500, 0.224], [0.000, 0.000, 0.505]]}

***

{"formula": "Cd2TcRh", "functional": "PBE", "state": "relaxed", "formation_enthalpy_0k_ev_per_atom": 0.338, "crystal_system": "cubic", "spacegroup": "F-43m (216)", "lattice_angstrom": [[-2.675, -3.578, -1.114], [1.903, -4.064, -1.030], [-0.430, -3.545, 2.905]], "species": ["Cd", "Cd", "Tc", "Rh"], "fractional_positions": [[0.000, 0.000, 0.000], [0.250, 0.250, 0.250], [0.750, 0.750, 0.750], [0.500, 0.500, 0.500]]}

***

{"formula": "Cd2TcRh", "functional": "PBE", "state": "relaxed", "formation_enthalpy_0k_ev_per_atom": 0.029, "crystal_system": "tetragonal", "spacegroup": "P4mm (99)", "lattice_angstrom": [[-0.246, -2.771, -0.783], [0.548, -0.816, 2.718], [-8.159, 0.240, 1.718]], "species": ["Rh", "Tc", "Cd", "Cd"], "fractional_positions": [[0.000, 0.000, 0.526], [0.500, 0.500, 0.721], [0.000, 0.000, 0.976], [0.500, 0.500, 0.277]]}

***

{"formula": "CdTc2Rh", "functional": "PBE", "state": "relaxed", "formation_enthalpy_0k_ev_per_atom": 0.086, "crystal_system": "trigonal", "spacegroup": "R3m (160)", "lattice_angstrom": [[-2.380, -4.134, -7.970], [0.229, -5.156, -7.723], [-1.911, -6.434, -6.421]], "species": ["Cd", "Tc", "Tc", "Rh"], "fractional_positions": [[0.499, 0.499, 0.499], [0.999, 0.999, 0.999], [0.257, 0.257, 0.257], [0.745, 0.745, 0.745]]}

***

{"formula": "Cd2TcRh", "functional": "PBE", "state": "relaxed", "formation_enthalpy_0k_ev_per_atom": 0.112, "crystal_system": "trigonal", "spacegroup": "R3m (160)", "lattice_angstrom": [[-9.275, -1.752, -3.201], [-8.813, -4.256, -1.890], [-9.755, -2.006, -0.389]], "species": ["Cd", "Cd", "Rh", "Tc"], "fractional_positions": [[0.007, 0.007, 0.007], [0.242, 0.242, 0.242], [0.493, 0.493, 0.493], [0.758, 0.758, 0.758]]}

***

{"formula": "CdTeRh", "functional": "PBE", "state": "relaxed", "crystal_system": "tetragonal", "final_energy_ev_per_fu": -11.7, "spacegroup": "I4mm (107)", "lattice_angstrom": [[-1.614, 1.614, 6.168], [1.614, -1.614, 6.168], [1.614, 1.614, -6.168]], "species": ["Cd", "Rh", "Te"], "fractional_positions": [[0.026, 0.026, 0.000], [0.675, 0.675, 0.000], [0.299, 0.299, 0.000]]}

***

{"formula": "CdTeRh", "functional": "PBE", "state": "relaxed", "crystal_system": "monoclinic", "final_energy_ev_per_fu": -12.0, "spacegroup": "C2/m (12)", "lattice_angstrom": [[-2.833, -2.953, -0.059], [7.425, -7.176, 2.651], [-0.047, 2.761, 5.965]], "species": ["Rh", "Rh", "Rh", "Rh", "Te", "Te", "Te", "Te", "Cd", "Cd", "Cd", "Cd"], "fractional_positions": [[0.385, 0.455, 0.769], [0.404, 0.773, 0.808], [0.615, 0.545, 0.231], [0.596, 0.227, 0.192], [0.763, 0.378, 0.526], [0.853, 0.909, 0.706], [0.237, 0.622, 0.474], [0.147, 0.091, 0.294], [0.383, 0.158, 0.765], [0.025, 0.369, 0.050], [0.617, 0.842, 0.235], [0.975, 0.631, 0.950]]}

***

{"formula": "Cd3TeRh", "functional": "PBE", "state": "relaxed", "crystal_system": "cubic", "final_energy_ev_per_fu": -12.0, "spacegroup": "Pm-3m (221)", "lattice_angstrom": [[-1.234, -3.630, 3.457], [5.012, -0.936, 0.806], [0.060, 3.549, 3.749]], "species": ["Cd", "Cd", "Cd", "Rh", "Te"], "fractional_positions": [[0.000, 0.000, 0.500], [0.000, 0.500, 0.000], [0.500, 0.000, 0.000], [0.000, 0.000, 0.000], [0.500, 0.500, 0.500]]}

***

{"formula": "CdTeRh", "functional": "PBE", "state": "relaxed", "crystal_system": "cubic", "final_energy_ev_per_fu": -12.0, "spacegroup": "F-43m (216)", "lattice_angstrom": [[0.000, 3.209, 3.209], [3.209, 0.000, 3.209], [3.209, 3.209, 0.000]], "species": ["Te", "Cd", "Rh"], "fractional_positions": [[0.000, 0.000, 0.000], [0.500, 0.500, 0.500], [0.250, 0.250, 0.250]]}